Entry from the Alexandria database: a geometry-optimized K2Pb structure (GGA-PBE).

Unit cell a=4.056 b=4.056 c=9.941 alpha=90.00 beta=90.00 gamma=120.00
Sites, in units of the cell vectors:
K 0.667 0.333 0.713
K 0.333 0.667 0.287
Pb 0.000 0.000 0.000

Summary:
As for the symmetry: P-3m1. As for the total energy: -1.9122 eV/atom.